No. 1
Computed, not measured: a relaxed structure of TlAgS2 at the GGA-PBE level of DFT.

Results
E_form (uncorrected)   -0.049 eV per atom

The structure in CIF format:
```
data_TlAgS2
_chemical_formula_sum 'Tl4 Ag4 S8'
_symmetry_space_group_name_H-M 'I 41/a m d'
_symmetry_Int_Tables_number 141
_cell_length_a 5.478
_cell_length_b 5.478
_cell_length_c 11.317
_cell_angle_alpha 90.00
_cell_angle_beta 90.00
_cell_angle_gamma 90.00
loop_
_symmetry_equiv_pos_as_xyz
'x,y,z'
'-x,-y,-z'
'-y+1/4,x+3/4,z+1/4'
'y+1/4,-x+3/4,-z+1/4'
'-x+1/2,-y,z+1/2'
'x+1/2,y,-z+1/2'
'y+1/4,-x+1/4,z+3/4'
'-y+1/4,x+1/4,-z+3/4'
'x,-y,-z'
'-x,y,z'
'-y+1/4,-x+1/4,-z+3/4'
'y+1/4,x+1/4,z+3/4'
'-x+1/2,y,-z+1/2'
'x+1/2,-y,z+1/2'
'y+1/4,x+3/4,-z+1/4'
'-y+1/4,-x+3/4,z+1/4'
'x+1/2,y+1/2,z+1/2'
'-x+1/2,-y+1/2,-z+1/2'
'-y+3/4,x+1/4,z+3/4'
'y+3/4,-x+1/4,-z+3/4'
'-x,-y+1/2,z'
'x,y+1/2,-z'
'y+3/4,-x+3/4,z+1/4'
'-y+3/4,x+3/4,-z+1/4'
'x+1/2,-y+1/2,-z+1/2'
'-x+1/2,y+1/2,z+1/2'
'-y+3/4,-x+3/4,-z+1/4'
'y+3/4,x+3/4,z+1/4'
'-x,y+1/2,-z'
'x,-y+1/2,z'
'y+3/4,x+1/4,-z+3/4'
'-y+3/4,-x+1/4,z+3/4'
loop_
_atom_site_label
_atom_site_fract_x
_atom_site_fract_y
_atom_site_fract_z
Tl1 0.000 0.250 0.375
Ag1 0.000 0.250 0.875
S1 0.000 0.250 0.120
```


No. 2
Computed, not measured: a relaxed structure of Pr12Ga6Si at the GGA-PBE level of DFT.

Results
E_form (uncorrected)   -0.199 eV per atom

The structure in CIF format:
```
data_Pr12Ga6Si
_chemical_formula_sum 'Pr36 Ga18 Si3'
_symmetry_space_group_name_H-M 'R -3'
_symmetry_Int_Tables_number 148
_symmetry_space_group_name_Hall '-R 3'
_cell_length_a 13.3172
_cell_length_b 13.3172
_cell_length_c 12.4881
_cell_angle_alpha 90.00
_cell_angle_beta 90.00
_cell_angle_gamma 120.00
loop_
_atom_site_label
_atom_site_fract_x
_atom_site_fract_y
_atom_site_fract_z
Pr1 0.0347 0.8269 0.3916
Pr2 0.0492 0.8397 0.8821
Ga1 0.0483 0.7803 0.6471
Si1 0.0000 0.0000 0.0000
```


No. 3
Computed, not measured: a relaxed structure of Rb2TcMo at the GGA-PBE level of DFT.

Results
Energy relative to the elements   1.538 eV per atom
ΔE to the lowest computed polymorph   0 meV per atom

The structure in CIF format:
```
data_Rb2TcMo
_chemical_formula_sum 'Rb8 Tc4 Mo4'
_symmetry_space_group_name_H-M 'I -4 2 d'
_symmetry_Int_Tables_number 122
_symmetry_space_group_name_Hall 'I -4 2bw'
_cell_length_a 13.401
_cell_length_b 13.401
_cell_length_c 4.391
_cell_angle_alpha 90.00
_cell_angle_beta 90.00
_cell_angle_gamma 90.00
loop_
_atom_site_label
_atom_site_fract_x
_atom_site_fract_y
_atom_site_fract_z
Rb1 0.074 0.250 0.125
Tc1 0.000 0.000 0.000
Mo1 0.000 0.000 0.500
```


No. 4
Computed, not measured: a relaxed structure of Sb2TeAu at the GGA-PBE level of DFT.

Results
E_form (uncorrected)   -0.052 eV per atom

The structure in CIF format:
```
data_Sb2TeAu
_chemical_formula_sum 'Sb4 Te2 Au2'
_symmetry_space_group_name_H-M 'C 1 2/m 1'
_symmetry_Int_Tables_number 12
_symmetry_space_group_name_Hall '-C 2y'
_cell_length_a 7.233
_cell_length_b 4.404
_cell_length_c 7.344
_cell_angle_alpha 90.00
_cell_angle_beta 111.32
_cell_angle_gamma 90.00
loop_
_atom_site_label
_atom_site_fract_x
_atom_site_fract_y
_atom_site_fract_z
Sb1 0.233 0.000 0.207
Te1 0.000 0.000 0.500
Au1 0.000 0.500 0.000
```


No. 5
Computed, not measured: a relaxed structure of PbAu at the GGA-PBE level of DFT.

Results
Energy relative to the elements   -0.015 eV per atom

The structure in CIF format:
```
data_PbAu
_chemical_formula_sum 'Pb6 Au6'
_symmetry_space_group_name_H-M 'C 1 m 1'
_symmetry_Int_Tables_number 8
_symmetry_space_group_name_Hall 'C -2y'
_cell_length_a 13.463
_cell_length_b 3.723
_cell_length_c 7.178
_cell_angle_alpha 90.00
_cell_angle_beta 121.26
_cell_angle_gamma 90.00
loop_
_atom_site_label
_atom_site_fract_x
_atom_site_fract_y
_atom_site_fract_z
Pb1 0.000 0.000 0.000
Pb2 0.007 0.000 0.503
Pb3 0.225 0.500 0.458
Au1 0.147 0.500 0.899
Au2 0.295 0.000 0.836
Au3 0.307 0.000 0.236
```


No. 6
Computed, not measured: a relaxed structure of Mg4TlCd2 at the GGA-PBE level of DFT.

Results
Energy relative to the elements   -0.051 eV per atom
ΔE to the lowest computed polymorph   0 meV per atom

The structure in CIF format:
```
data_Mg4TlCd2
_chemical_formula_sum 'Mg16 Tl4 Cd8'
_symmetry_space_group_name_H-M 'C m c m'
_symmetry_Int_Tables_number 63
_symmetry_space_group_name_Hall '-C 2c 2'
_cell_length_a 4.956
_cell_length_b 8.585
_cell_length_c 15.168
_cell_angle_alpha 90.00
_cell_angle_beta 90.00
_cell_angle_gamma 90.00
loop_
_atom_site_label
_atom_site_fract_x
_atom_site_fract_y
_atom_site_fract_z
Mg1 0.000 0.000 0.000
Mg2 0.000 0.333 0.250
Mg3 0.000 0.334 0.642
Tl1 0.000 0.000 0.250
Cd1 0.000 0.333 0.057
```


No. 7
Computed, not measured: a relaxed structure of Pr4Sn2Te at the GGA-PBE level of DFT.

Results
E_form (uncorrected)   -0.639 eV per atom

The structure in CIF format:
```
data_Pr4Sn2Te
_chemical_formula_sum 'Pr16 Sn8 Te4'
_symmetry_space_group_name_H-M 'I 41/a m d'
_symmetry_Int_Tables_number 141
_cell_length_a 9.392
_cell_length_b 9.392
_cell_length_c 13.250
_cell_angle_alpha 90.00
_cell_angle_beta 90.00
_cell_angle_gamma 90.00
loop_
_symmetry_equiv_pos_as_xyz
'x,y,z'
'-x,-y,-z'
'-y+1/4,x+3/4,z+1/4'
'y+1/4,-x+3/4,-z+1/4'
'-x+1/2,-y,z+1/2'
'x+1/2,y,-z+1/2'
'y+1/4,-x+1/4,z+3/4'
'-y+1/4,x+1/4,-z+3/4'
'x,-y,-z'
'-x,y,z'
'-y+1/4,-x+1/4,-z+3/4'
'y+1/4,x+1/4,z+3/4'
'-x+1/2,y,-z+1/2'
'x+1/2,-y,z+1/2'
'y+1/4,x+3/4,-z+1/4'
'-y+1/4,-x+3/4,z+1/4'
'x+1/2,y+1/2,z+1/2'
'-x+1/2,-y+1/2,-z+1/2'
'-y+3/4,x+1/4,z+3/4'
'y+3/4,-x+1/4,-z+3/4'
'-x,-y+1/2,z'
'x,y+1/2,-z'
'y+3/4,-x+3/4,z+1/4'
'-y+3/4,x+3/4,-z+1/4'
'x+1/2,-y+1/2,-z+1/2'
'-x+1/2,y+1/2,z+1/2'
'-y+3/4,-x+3/4,-z+1/4'
'y+3/4,x+3/4,z+1/4'
'-x,y+1/2,-z'
'x,-y+1/2,z'
'y+3/4,x+1/4,-z+3/4'
'-y+3/4,-x+1/4,z+3/4'
loop_
_atom_site_label
_atom_site_fract_x
_atom_site_fract_y
_atom_site_fract_z
Pr1 0.000 0.028 0.263
Sn1 0.000 0.000 0.500
Te1 0.000 0.250 0.875
```


No. 8
Computed, not measured: a relaxed structure of La2ScBe3Pt4 at the GGA-PBE level of DFT.

Results
Energy relative to the elements   -0.879 eV per atom

The structure in CIF format:
```
data_La2ScBe3Pt4
_chemical_formula_sum 'La2 Sc1 Be3 Pt4'
_symmetry_space_group_name_H-M 'P -4 m 2'
_symmetry_Int_Tables_number 115
_symmetry_space_group_name_Hall 'P -4 -2'
_cell_length_a 4.088
_cell_length_b 4.088
_cell_length_c 10.799
_cell_angle_alpha 90.00
_cell_angle_beta 90.00
_cell_angle_gamma 90.00
loop_
_atom_site_label
_atom_site_fract_x
_atom_site_fract_y
_atom_site_fract_z
La1 0.000 0.500 0.232
Sc1 0.000 0.000 0.500
Be1 0.000 0.500 0.892
Be2 0.500 0.500 0.500
Pt1 0.000 0.000 0.000
Pt2 0.000 0.500 0.657
Pt3 0.500 0.500 0.000
```


No. 9
Computed, not measured: a relaxed structure of NaCdAgH2 at the GGA-PBE level of DFT.

Results
VASP energy   -1.72 eV/atom

The structure in CIF format:
```
data_NaCdAgH2
_chemical_formula_sum 'Na1 Cd1 Ag1 H2'
_symmetry_space_group_name_H-M 'P 4/m m m'
_symmetry_Int_Tables_number 123
_symmetry_space_group_name_Hall '-P 4 2'
_cell_length_a 4.001
_cell_length_b 4.001
_cell_length_c 5.988
_cell_angle_alpha 90.00
_cell_angle_beta 90.00
_cell_angle_gamma 90.00
loop_
_atom_site_label
_atom_site_fract_x
_atom_site_fract_y
_atom_site_fract_z
Na1 0.000 0.000 0.000
Cd1 0.000 0.000 0.500
Ag1 0.500 0.500 0.500
H1 0.000 0.500 0.000
```


No. 10
Computed, not measured: a relaxed structure of TcTeP2 at the GGA-PBE level of DFT.

Results
E_form (uncorrected)   0.710 eV per atom

The structure in CIF format:
```
data_TcTeP2
_chemical_formula_sum 'Tc2 Te2 P4'
_symmetry_space_group_name_H-M 'C m m m'
_symmetry_Int_Tables_number 65
_symmetry_space_group_name_Hall '-C 2 2'
_cell_length_a 5.780
_cell_length_b 7.187
_cell_length_c 3.216
_cell_angle_alpha 90.00
_cell_angle_beta 90.00
_cell_angle_gamma 90.00
loop_
_atom_site_label
_atom_site_fract_x
_atom_site_fract_y
_atom_site_fract_z
Tc1 0.000 0.000 0.000
Te1 0.000 0.500 0.000
P1 0.250 0.250 0.500
```


No. 11
Computed, not measured: a relaxed structure of LaSmRe4 at the GGA-PBE level of DFT.

Results
Energy relative to the elements   0.072 eV per atom

The structure in CIF format:
```
data_LaSmRe4
_chemical_formula_sum 'La4 Sm4 Re16'
_symmetry_space_group_name_H-M 'F -4 3 m'
_symmetry_Int_Tables_number 216
_symmetry_space_group_name_Hall 'F -4 2 3'
_cell_length_a 7.797
_cell_length_b 7.797
_cell_length_c 7.797
_cell_angle_alpha 90.00
_cell_angle_beta 90.00
_cell_angle_gamma 90.00
loop_
_atom_site_label
_atom_site_fract_x
_atom_site_fract_y
_atom_site_fract_z
La1 0.000 0.000 0.000
Sm1 0.250 0.250 0.750
Re1 0.125 0.125 0.375
```


No. 12
Computed, not measured: a relaxed structure of TlZn2Cu2 at the GGA-PBE level of DFT.

Results
Energy relative to the elements   0.123 eV per atom
ΔE to the lowest computed polymorph   0 meV per atom

The structure in CIF format:
```
data_TlZn2Cu2
_chemical_formula_sum 'Tl2 Zn4 Cu4'
_symmetry_space_group_name_H-M 'P 4/m b m'
_symmetry_Int_Tables_number 127
_symmetry_space_group_name_Hall '-P 4 2ab'
_cell_length_a 7.530
_cell_length_b 7.530
_cell_length_c 2.881
_cell_angle_alpha 90.00
_cell_angle_beta 90.00
_cell_angle_gamma 90.00
loop_
_atom_site_label
_atom_site_fract_x
_atom_site_fract_y
_atom_site_fract_z
Tl1 0.000 0.000 0.000
Zn1 0.169 0.331 0.500
Cu1 0.122 0.622 0.000
```


no.,total magnetization (μB per cell)
1,0.000
2,0.039
3,0.000
4,0.000
5,0.000
6,0.000
7,0.004
8,0.000
9,0.119
10,0.001
11,0.001
12,0.000